1.
## HfP2Os (PBE-GGA)

Data for HfP2Os after structural relaxation.

Cell: 4.3670 4.3670 4.3670 Å, 60.00 60.00 60.00°
Element x y z (fractional)
Hf: 0.0000 0.0000 0.0000
P: 0.7500 0.7500 0.7500
Os: 0.5000 0.5000 0.5000
P: 0.2500 0.2500 0.2500

Computed properties:
ΔE to the lowest computed polymorph in meV per atom: 0
Energy relative to the elements in eV/atom: -0.297



2.
## HfPOs3 (PBE-GGA)

Data for HfPOs3 after structural relaxation.

Cell: 4.7912 4.7912 4.7912 Å, 90.00 90.00 90.00°
Last column: magnetic moment on the atom in μB.
Element x y z (fractional)
Os: 0.0000 0.0000 0.5000  0.23
Hf: 0.0000 0.0000 0.0000  -0.01
Os: 0.0000 0.5000 0.0000  0.26
P: 0.5000 0.5000 0.5000  -0.05
Os: 0.5000 0.0000 0.0000  0.26

Computed properties:
ΔE to the lowest computed polymorph in meV per atom: 2394
Energy relative to the elements in eV/atom: 2.665



3.
## Hf2P2Os (PBE-GGA)

Data for Hf2P2Os after structural relaxation.

Cell: 6.0458 6.0458 4.2750 Å, 90.00 90.00 90.00°
Element x y z (fractional)
Hf: 0.8327 0.3327 0.5000
Hf: 0.3327 0.1673 0.5000
P: 0.1321 0.3679 0.0000
Hf: 0.6673 0.8327 0.5000
Os: 0.5000 0.5000 0.0000
P: 0.6321 0.1321 0.0000
P: 0.8679 0.6321 0.0000
P: 0.3679 0.8679 0.0000
Os: 0.0000 0.0000 0.0000
Hf: 0.1673 0.6673 0.5000

Computed properties:
Energy relative to the elements in eV/atom: -0.823



4.
## HfP2Os (PBE-GGA)

Data for HfP2Os after structural relaxation.

Cell: 4.8718 4.8718 7.5052 Å, 71.06 71.06 90.00°
Element x y z (fractional)
P: 0.6787 0.1250 0.2500
Hf: 0.2500 0.7500 0.5000
Os: 0.7500 0.2500 0.5000
Os: 0.0000 0.0000 0.0000
Hf: 0.5000 0.5000 0.0000
P: 0.0713 0.6250 0.2500
P: 0.8750 0.9287 0.7500
P: 0.3750 0.3213 0.7500

Computed properties:
ΔE to the lowest computed polymorph in meV per atom: 78
Energy relative to the elements in eV/atom: -0.218



5.
## HfP2OsRh (PBE-GGA)

Data for HfP2OsRh after structural relaxation.

Cell: 4.8224 4.7086 4.8224 Å, 90.00 90.00 90.00°
Last column: magnetic moment on the atom in μB.
Element x y z (fractional)
Rh: 0.0000 0.5000 0.0000  0.12
P: 0.5000 0.0000 0.0000  -0.06
P: 0.0000 0.0000 0.5000  -0.04
Os: 0.5000 0.5000 0.5000  2.43
Hf: 0.0000 0.0000 0.0000  0.03

Computed properties:
Energy relative to the elements in eV/atom: 1.515



6.
## HfP2OsRu (PBE-GGA)

Data for HfP2OsRu after structural relaxation.

Cell: 4.3730 5.0158 4.3730 Å, 90.00 90.00 90.00°
Element x y z (fractional)
Os: 0.5000 0.5000 0.5000
P: 0.5000 0.0000 0.0000
Ru: 0.0000 0.0000 0.0000
Hf: 0.0000 0.5000 0.0000
P: 0.0000 0.0000 0.5000

Computed properties:
Energy relative to the elements in eV/atom: 0.899



7.
## HfPOsS2 (PBE-GGA)

Data for HfPOsS2 after structural relaxation.

Cell: 4.7075 4.7075 4.4025 Å, 90.00 90.00 90.00°
Element x y z (fractional)
S: 0.5000 0.0000 0.0000
Os: 0.0000 0.0000 0.0000
Hf: 0.5000 0.5000 0.5000
S: 0.0000 0.5000 0.0000
P: 0.0000 0.0000 0.5000

Computed properties:
ΔE to the lowest computed polymorph in meV per atom: 0
Formation energy without anion corrections in eV per atom: 0.49



8.
## HfPOsS2 (PBE-GGA)

Data for HfPOsS2 after structural relaxation.

Cell: 4.7928 4.7928 5.1587 Å, 90.00 90.00 90.00°
Last column: magnetic moment on the atom in μB.
Element x y z (fractional)
Os: 0.5000 0.5000 0.5000  3.21
S: 0.0000 0.5000 0.0000  0.12
S: 0.5000 0.0000 0.0000  0.12
Hf: 0.0000 0.0000 0.0000  0.04
P: 0.0000 0.0000 0.5000  -0.04

Computed properties:
ΔE to the lowest computed polymorph in meV per atom: 423
Formation energy without anion corrections in eV per atom: 0.91



9.
## Hf2TePOs (PBE-GGA)

Data for Hf2TePOs after structural relaxation.

Cell: 4.7514 4.7514 4.9324 Å, 90.00 90.00 90.00°
Element x y z (fractional)
Os: 0.5000 0.5000 0.5000
Hf: 0.5000 0.0000 0.0000
Hf: 0.0000 0.5000 0.0000
Te: 0.0000 0.0000 0.5000
P: 0.0000 0.0000 0.0000

Computed properties:
Formation energy without anion corrections in eV per atom: 0.77



10.
## HfP2OsW (PBE-GGA)

Data for HfP2OsW after structural relaxation.

Cell: 4.4992 4.9333 4.4992 Å, 90.00 90.00 90.00°
Element x y z (fractional)
W: 0.0000 0.5000 0.0000
Os: 0.0000 0.0000 0.0000
P: 0.5000 0.0000 0.0000
P: 0.0000 0.0000 0.5000
Hf: 0.5000 0.5000 0.5000

Computed properties:
Energy relative to the elements in eV/atom: 1.061



11.
## HfZrP2Os (PBE-GGA)

Data for HfZrP2Os after structural relaxation.

Cell: 4.5570 4.5570 5.1055 Å, 90.00 90.00 90.00°
Element x y z (fractional)
Zr: 0.0000 0.0000 0.5000
Os: 0.0000 0.0000 0.0000
Hf: 0.5000 0.5000 0.5000
P: 0.0000 0.5000 0.0000
P: 0.5000 0.0000 0.0000

Computed properties:
Energy relative to the elements in eV/atom: 0.577



12.
## Hf2PaOs (PBE-GGA)

Data for Hf2PaOs after structural relaxation.

Cell: 4.7960 4.7960 4.7959 Å, 60.00 60.00 60.00°
Element x y z (fractional)
Hf: 0.7500 0.7500 0.7500
Pa: 0.5000 0.5000 0.5000
Hf: 0.2500 0.2500 0.2500
Os: 0.0000 0.0000 0.0000

Computed properties:
Energy relative to the elements in eV/atom: -0.059